Entry 1:
Re2HgPt after structural relaxation. Source: the Alexandria database, functional PBE.

Output
ΔH_f (0 K)	0.8578	eV per atom
energy	-0.511	Ry per atom
total magnetic moment	0.00	Bohr magnetons per cell

CIF file:
```
data_Re2HgPt
_cell_length_a 4.8752
_cell_length_b 4.8752
_cell_length_c 2.7728
_cell_angle_alpha 90.00
_cell_angle_beta 90.00
_cell_angle_gamma 90.00
_space_group_name_H-M_alt 'P 4/m m m'
_space_group_IT_number 123
_space_group_name_Hall '-P 4 2'
loop_
_atom_site_label
_atom_site_type_symbol
_atom_site_fract_x
_atom_site_fract_y
_atom_site_fract_z
Re1 Re 0.0000 0.5000 0.0000
Hg1 Hg 0.0000 0.0000 0.5000
Pt1 Pt 0.5000 0.5000 0.5000
```

=====

Entry 2:
Re2HgPt after structural relaxation. Source: the Alexandria database, functional PBE.

Output
ΔH_f (0 K)	1.9092	eV per atom
energy	-0.434	Ry per atom
total magnetic moment	0.00	Bohr magnetons per cell

CIF file:
```
data_Re2HgPt
_cell_length_a 6.0648
_cell_length_b 6.0648
_cell_length_c 10.5820
_cell_angle_alpha 90.00
_cell_angle_beta 90.00
_cell_angle_gamma 90.00
_space_group_name_H-M_alt 'I -4 2 d'
_space_group_IT_number 122
_space_group_name_Hall 'I -4 2bw'
loop_
_atom_site_label
_atom_site_type_symbol
_atom_site_fract_x
_atom_site_fract_y
_atom_site_fract_z
Re1 Re 0.2202 0.2500 0.1250
Hg1 Hg 0.0000 0.0000 0.5000
Pt1 Pt 0.0000 0.0000 0.0000
```